# PBE YCo3P, relaxed
data_YCo3P
_chemical_formula_sum 'Y1 Co3 P1'
_cell_length_a 4.240
_cell_length_b 4.240
_cell_length_c 4.240
_cell_angle_alpha 90.00
_cell_angle_beta 90.00
_cell_angle_gamma 90.00
_space_group_name_H-M_alt 'P m -3 m'
_space_group_IT_number 221
_space_group_name_Hall '-P 4 2 3'
loop_
_atom_site_label
_atom_site_fract_x
_atom_site_fract_y
_atom_site_fract_z
Y1 0.000 0.000 0.000
Co1 0.000 0.500 0.500
P1 0.500 0.500 0.500
# DOS at the Fermi energy in states/eV/cell: 3.8
# Raw total energy in eV/cell: -34.7
# Excess energy over the best structure of this formula in the dataset in eV/f.u.: 0.00
# E_form in eV/atom: -0.299

# PBE YCoP, relaxed
data_YCoP
_chemical_formula_sum 'Y2 Co2 P2'
_cell_length_a 4.064
_cell_length_b 4.064
_cell_length_c 7.439
_cell_angle_alpha 90.00
_cell_angle_beta 90.00
_cell_angle_gamma 90.00
_space_group_name_H-M_alt 'P 42/m m c'
_space_group_IT_number 131
_space_group_name_Hall '-P 4c 2'
loop_
_atom_site_label
_atom_site_fract_x
_atom_site_fract_y
_atom_site_fract_z
Y1 0.000 0.000 0.250
Co1 0.000 0.500 0.000
P1 0.500 0.500 0.000
# DOS at the Fermi energy in states/eV/cell: 2.8
# Raw total energy in eV/cell: -41.4
# E_form in eV/atom: -0.567

# PBE YCoP4, relaxed
data_YCoP4
_chemical_formula_sum 'Y4 Co4 P16'
_cell_length_a 4.896
_cell_length_b 10.974
_cell_length_c 7.088
_cell_angle_alpha 90.00
_cell_angle_beta 90.00
_cell_angle_gamma 90.00
_space_group_name_H-M_alt 'C m m m'
_space_group_IT_number 65
_space_group_name_Hall '-C 2 2'
loop_
_atom_site_label
_atom_site_fract_x
_atom_site_fract_y
_atom_site_fract_z
Y1 0.000 0.000 0.000
Y2 0.000 0.000 0.500
Co1 0.000 0.320 0.000
P1 0.000 0.354 0.500
P2 0.000 0.500 0.182
P3 0.250 0.250 0.253
# DOS at the Fermi energy in states/eV/cell: 9.6
# Raw total energy in eV/cell: -146.5
# Excess energy over the best structure of this formula in the dataset in eV/f.u.: 0.00
# E_form in eV/atom: -0.236

# PBE YCo2P, relaxed
data_YCo2P
_chemical_formula_sum 'Y1 Co2 P1'
_cell_length_a 2.892
_cell_length_b 2.892
_cell_length_c 6.784
_cell_angle_alpha 90.00
_cell_angle_beta 90.00
_cell_angle_gamma 90.00
_space_group_name_H-M_alt 'P 4/m m m'
_space_group_IT_number 123
_space_group_name_Hall '-P 4 2'
loop_
_atom_site_label
_atom_site_fract_x
_atom_site_fract_y
_atom_site_fract_z
Y1 0.000 0.000 0.000
Co1 0.500 0.500 0.319
P1 0.000 0.000 0.500
# DOS at the Fermi energy in states/eV/cell: 3.2
# Raw total energy in eV/cell: -26.7
# E_form in eV/atom: -0.153

# PBE YCoP, relaxed
data_YCoP
_chemical_formula_sum 'Y4 Co4 P4'
_cell_length_a 5.960
_cell_length_b 5.960
_cell_length_c 5.960
_cell_angle_alpha 90.00
_cell_angle_beta 90.00
_cell_angle_gamma 90.00
_space_group_name_H-M_alt 'F -4 3 m'
_space_group_IT_number 216
_space_group_name_Hall 'F -4 2 3'
loop_
_atom_site_label
_atom_site_fract_x
_atom_site_fract_y
_atom_site_fract_z
Y1 0.000 0.000 0.000
Co1 0.250 0.250 0.250
P1 0.000 0.000 0.500
# DOS at the Fermi energy in states/eV/cell: 14.3
# Raw total energy in eV/cell: -83.3
# E_form in eV/atom: -0.619

# PBE YCoP2, relaxed
data_YCoP2
_chemical_formula_sum 'Y2 Co2 P4'
_cell_length_a 3.800
_cell_length_b 3.800
_cell_length_c 9.193
_cell_angle_alpha 90.00
_cell_angle_beta 90.00
_cell_angle_gamma 90.00
_space_group_name_H-M_alt 'I -4 m 2'
_space_group_IT_number 119
_space_group_name_Hall 'I -4 -2'
loop_
_atom_site_label
_atom_site_fract_x
_atom_site_fract_y
_atom_site_fract_z
Y1 0.000 0.000 0.000
Co1 0.000 0.500 0.750
P1 0.000 0.000 0.370
# DOS at the Fermi energy in states/eV/cell: 6.0
# Raw total energy in eV/cell: -56.6
# Excess energy over the best structure of this formula in the dataset in eV/f.u.: 0.00
# E_form in eV/atom: -0.978

# PBE Y4CoP, relaxed
data_Y4CoP
_chemical_formula_sum 'Y16 Co4 P4'
_cell_length_a 8.572
_cell_length_b 8.572
_cell_length_c 8.572
_cell_angle_alpha 90.00
_cell_angle_beta 90.00
_cell_angle_gamma 90.00
_space_group_name_H-M_alt 'F -4 3 m'
_space_group_IT_number 216
_space_group_name_Hall 'F -4 2 3'
loop_
_atom_site_label
_atom_site_fract_x
_atom_site_fract_y
_atom_site_fract_z
Y1 0.125 0.125 0.125
Co1 0.250 0.250 0.750
P1 0.000 0.000 0.500
# DOS at the Fermi energy in states/eV/cell: 35.7
# Raw total energy in eV/cell: -134.4
# E_form in eV/atom: 0.795

# PBE YCo2P, relaxed
data_YCo2P
_chemical_formula_sum 'Y2 Co4 P2'
_cell_length_a 3.462
_cell_length_b 4.863
_cell_length_c 7.283
_cell_angle_alpha 90.00
_cell_angle_beta 90.00
_cell_angle_gamma 90.00
_space_group_name_H-M_alt 'I m m m'
_space_group_IT_number 71
_space_group_name_Hall '-I 2 2'
loop_
_atom_site_label
_atom_site_fract_x
_atom_site_fract_y
_atom_site_fract_z
Y1 0.000 0.000 0.000
Co1 0.000 0.500 0.187
P1 0.000 0.000 0.500
# DOS at the Fermi energy in states/eV/cell: 3.8
# Raw total energy in eV/cell: -54.5
# E_form in eV/atom: -0.294

# PBE Y2CoP, relaxed
data_Y2CoP
_chemical_formula_sum 'Y6 Co3 P3'
_cell_length_a 3.9253
_cell_length_b 3.9253
_cell_length_c 19.9586
_cell_angle_alpha 90.00
_cell_angle_beta 90.00
_cell_angle_gamma 120.00
_space_group_name_H-M_alt 'R -3 m'
_space_group_IT_number 166
_space_group_name_Hall '-R 3 2"'
loop_
_atom_site_label
_atom_site_fract_x
_atom_site_fract_y
_atom_site_fract_z
Y1 0.0000 0.0000 0.2492
Co1 0.0000 0.0000 0.0000
P1 0.0000 0.0000 0.5000
# DOS at the Fermi energy in states/eV/cell: 8.1
# Raw total energy in eV/cell: -83.5
# E_form in eV/atom: -0.597

# PBE Y2Co12P7, relaxed
data_Y2Co12P7
_chemical_formula_sum 'Y2 Co12 P7'
_cell_length_a 9.0082
_cell_length_b 9.0082
_cell_length_c 3.5887
_cell_angle_alpha 90.00
_cell_angle_beta 90.00
_cell_angle_gamma 120.00
_space_group_name_H-M_alt 'P -6'
_space_group_IT_number 174
loop_
_space_group_symop_operation_xyz
'x,y,z'
'-x+y,-x,-z'
'-y,x-y,z'
'x,y,-z'
'-x+y,-x,z'
'-y,x-y,-z'
loop_
_atom_site_label
_atom_site_fract_x
_atom_site_fract_y
_atom_site_fract_z
Y1 0.0000 0.0000 0.0000
Y2 0.3333 0.6667 0.5000
Co1 0.0410 0.7672 0.5000
Co2 0.1012 0.3854 0.0000
Co3 0.4336 0.2313 0.0000
Co4 0.5130 0.0607 0.5000
P1 0.0685 0.6246 0.0000
P2 0.2607 0.0397 0.5000
P3 0.6667 0.3333 0.5000
# DOS at the Fermi energy in states/eV/cell: 11.9
# Raw total energy in eV/cell: -152.8
# E_form in eV/atom: -0.797

# PBE YCoP, relaxed
data_YCoP
_chemical_formula_sum 'Y2 Co2 P2'
_cell_length_a 3.110
_cell_length_b 3.110
_cell_length_c 10.062
_cell_angle_alpha 90.00
_cell_angle_beta 90.00
_cell_angle_gamma 90.00
_space_group_name_H-M_alt 'I 4 m m'
_space_group_IT_number 107
_space_group_name_Hall 'I 4 -2'
loop_
_atom_site_label
_atom_site_fract_x
_atom_site_fract_y
_atom_site_fract_z
Y1 0.000 0.000 0.000
Co1 0.000 0.000 0.708
P1 0.000 0.000 0.293
# DOS at the Fermi energy in states/eV/cell: 9.2
# Raw total energy in eV/cell: -40.6
# E_form in eV/atom: -0.446

# PBE Y2CoP, relaxed
data_Y2CoP
_chemical_formula_sum 'Y4 Co2 P2'
_cell_length_a 3.934
_cell_length_b 3.934
_cell_length_c 10.321
_cell_angle_alpha 90.00
_cell_angle_beta 90.00
_cell_angle_gamma 90.00
_space_group_name_H-M_alt 'I -4 m 2'
_space_group_IT_number 119
_space_group_name_Hall 'I -4 -2'
loop_
_atom_site_label
_atom_site_fract_x
_atom_site_fract_y
_atom_site_fract_z
Y1 0.000 0.000 0.000
Y2 0.000 0.500 0.250
Co1 0.000 0.500 0.750
P1 0.000 0.000 0.500
# DOS at the Fermi energy in states/eV/cell: 4.3
# Raw total energy in eV/cell: -54.6
# E_form in eV/atom: -0.462